1.
The following is a PBE calculation of an optimized crystal structure of TlC2S, from Alexandria via LeMat-Bulk.

Lattice parameters (Å, degrees): 4.306 4.306 4.306 60.00 60.00 60.00
Sites, in units of the cell vectors:
Tl  0.000  0.000  0.000
C  0.250  0.250  0.250
C  0.750  0.750  0.750
S  0.500  0.500  0.500

E_form (uncorrected): 11.084 eV per formula unit
relative energy among the computed polymorphs: 1093.0 meV/atom
spin magnetization: 0.000 μB/f.u.
N(E_F): 2.0 states/eV/cell

***

2.
The following is a PBE calculation of an optimized crystal structure of Zr3CdC, from Alexandria via LeMat-Bulk.

Lattice parameters (Å, degrees): 6.507 6.507 9.843 104.33 104.33 29.50
Sites, in units of the cell vectors:
Zr  0.037  0.037  0.372
Zr  0.290  0.290  0.382
Zr  0.401  0.401  0.859
Zr  0.599  0.599  0.141
Zr  0.710  0.710  0.618
Zr  0.963  0.963  0.628
Cd  0.154  0.154  0.888
Cd  0.846  0.846  0.112
C  0.338  0.338  0.625
C  0.662  0.662  0.375

relative energy among the computed polymorphs: 122.8 meV/atom
spin magnetization: 0.000 μB/f.u.
N(E_F): 9.8 states/eV/cell
formation enthalpy at 0 K: -0.31 eV per atom